## Pm2NdPbN (PBE)

Data for a geometry-optimized Pm2NdPbN structure.

Output
DOS(E_F)   0.389 states/eV/atom
Symmetry   P4/mmm
V   25.12 Å³ per atom
Formation energy without anion corrections   -0.8966 eV/atom

Structure (POSCAR):
```
Pm2NdPbN
1.0
4.992 0.000 0.000
0.000 4.992 0.000
0.000 0.000 5.039
Pm Nd Pb N
2 1 1 1
Direct
0.000 0.500 0.000
0.500 0.000 0.000
0.000 0.000 0.500
0.500 0.500 0.500
0.000 0.000 0.000
```


## P2PbCl (PBE)

Data for a geometry-optimized P2PbCl structure.

Output
DOS(E_F)   0.623 states/eV/atom
Symmetry   Fm-3m
V   20.40 Å³ per atom
Formation energy without anion corrections   0.6452 eV/atom

Structure (POSCAR):
```
P2PbCl
1.0
0.000 3.443 3.443
3.443 0.000 3.443
3.443 3.443 0.000
P Pb Cl
2 1 1
Direct
0.250 0.250 0.250
0.750 0.750 0.750
0.000 0.000 0.000
0.500 0.500 0.500
```


## Rb2U2TlS7 (PBE)

Data for a geometry-optimized Rb2U2TlS7 structure.

Output
DOS(E_F)   0.627 states/eV/atom
Symmetry   I4/mmm
V   30.43 Å³ per atom
Formation energy without anion corrections   -1.1630 eV/atom

Structure (POSCAR):
```
Rb2U2TlS7
1.0
-2.601 2.601 13.492
2.601 -2.601 13.492
2.601 2.601 -13.492
Rb U Tl S
2 2 1 7
Direct
0.185 0.185 0.000
0.815 0.815 0.000
0.404 0.404 0.000
0.596 0.596 0.000
0.000 0.000 0.000
0.094 0.594 0.500
0.312 0.312 0.000
0.406 0.906 0.500
0.500 0.500 0.000
0.594 0.094 0.500
0.688 0.688 0.000
0.906 0.406 0.500
```


## Rb3H2Br3 (PBE)

Data for a geometry-optimized Rb3H2Br3 structure.

Output
Symmetry   Cmcm
V   31.96 Å³ per atom
Uncorrected energy   -40.687 eV for the cell shown

Structure (POSCAR):
```
Rb3H2Br3
1.0
2.239 -6.293 0.000
2.239 6.293 0.000
0.000 0.000 18.145
Rb H Br
6 4 6
Direct
0.105 0.895 0.590
0.105 0.895 0.910
0.355 0.645 0.750
0.645 0.355 0.250
0.895 0.105 0.090
0.895 0.105 0.410
0.122 0.878 0.142
0.122 0.878 0.358
0.878 0.122 0.642
0.878 0.122 0.858
0.365 0.635 0.250
0.378 0.622 0.564
0.378 0.622 0.936
0.622 0.378 0.064
0.622 0.378 0.436
0.635 0.365 0.750
```